SCAN NiAgO2, single point on PBEsol structure; space group = R-3m
1.0
2.898 0.000 0.000
1.449 2.510 0.000
1.449 0.837 6.085
Ni Ag O
1 1 2
Cartesian
2.898 1.673 3.042 Ni
0.000 0.000 0.000 Ag
4.347 2.510 2.080 O
1.449 0.837 4.005 O

=====

SCAN NiAgO3, single point on PBEsol structure; space group = Pm-3m
1.0
3.906 0.000 0.000
0.000 3.906 0.000
0.000 0.000 3.906
Ni O Ag
1 3 1
Cartesian
1.953 1.953 1.953 Ni
0.000 1.953 0.000 O
0.000 0.000 1.953 O
1.953 0.000 0.000 O
0.000 0.000 0.000 Ag

=====

SCAN NiAgOs2O, single point on PBEsol structure; space group = P4/mmm
1.0
-0.266 3.893 2.026
-3.495 1.039 -2.456
-2.802 -1.857 3.202
Ni Os O Ag
1 2 1 1
Cartesian
0.000 0.000 0.000 Ni
-1.748 0.520 -1.228 Os
-0.133 1.947 1.013 Os
-3.282 1.537 1.386 O
-1.401 -0.929 1.601 Ag

=====

SCAN NiAgSn2O, single point on PBEsol structure; space group = P4/mmm
1.0
-4.537 0.703 -0.898
-1.020 -4.149 1.907
-0.514 2.059 4.204
O Ni Sn Ag
1 1 2 1
Cartesian
-3.036 -0.693 2.606 O
0.000 0.000 0.000 Ni
-0.510 -2.074 0.954 Sn
-2.269 0.352 -0.449 Sn
-0.257 1.029 2.102 Ag

=====

Formation energy without anion corrections for the records above, in order: -0.887, 0.642, 2.270, 0.450 eV/atom